No. 1
Material: UFeC2
Method: DFT, PBEsol
State: relaxed

The structure in CIF format:
```
data_UFeC2
_chemical_formula_sum 'U2 Fe2 C4'
_cell_length_a 3.4699
_cell_length_b 3.4699
_cell_length_c 7.0574
_cell_angle_alpha 90.00
_cell_angle_beta 90.00
_cell_angle_gamma 90.00
_symmetry_space_group_name_H-M 'P 1'
_symmetry_Int_Tables_number 1
_symmetry_space_group_name_Hall 'P 1'
loop_
_atom_site_label
_atom_site_type_symbol
_atom_site_fract_x
_atom_site_fract_y
_atom_site_fract_z
_atom_site_occupancy
U1 U 0.0000 0.5000 0.6859 1
U2 U 0.5000 0.0000 0.3141 1
Fe1 Fe 0.0000 0.0000 0.0000 1
Fe2 Fe 0.5000 0.5000 0.0000 1
C1 C 0.0000 0.5000 0.1500 1
C2 C 0.5000 0.0000 0.8500 1
C3 C 0.0000 0.5000 0.3620 1
C4 C 0.5000 0.0000 0.6380 1
```

ΔH_f (0 K) (eV/f.u.): -0.88
Uncorrected energy (eV per atom): -10.323


No. 2
Material: Ca2AlCd
Method: DFT, PBEsol
State: relaxed

The structure in CIF format:
```
data_Ca2AlCd
_chemical_formula_sum 'Ca2 Al1 Cd1'
_cell_length_a 3.6935
_cell_length_b 3.6935
_cell_length_c 7.5749
_cell_angle_alpha 90.00
_cell_angle_beta 90.00
_cell_angle_gamma 90.00
_symmetry_space_group_name_H-M 'P 1'
_symmetry_Int_Tables_number 1
_symmetry_space_group_name_Hall 'P 1'
loop_
_atom_site_label
_atom_site_type_symbol
_atom_site_fract_x
_atom_site_fract_y
_atom_site_fract_z
_atom_site_occupancy
Ca1 Ca 0.0000 0.0000 0.7458 1
Ca2 Ca 0.0000 0.0000 0.2542 1
Al1 Al 0.5000 0.5000 0.5000 1
Cd1 Cd 0.5000 0.5000 0.0000 1
```

ΔH_f (0 K) (eV/f.u.): -1.11
Uncorrected energy (eV per atom): -2.667


No. 3
Material: Na5Br4Cl
Method: DFT, PBEsol
State: relaxed

The structure in CIF format:
```
data_Na5Br4Cl
_chemical_formula_sum 'Na5 Br4 Cl1'
_cell_length_a 4.1490
_cell_length_b 4.1490
_cell_length_c 14.9368
_cell_angle_alpha 97.98
_cell_angle_beta 97.98
_cell_angle_gamma 90.00
_symmetry_space_group_name_H-M 'P 1'
_symmetry_Int_Tables_number 1
_symmetry_space_group_name_Hall 'P 1'
loop_
_atom_site_label
_atom_site_type_symbol
_atom_site_fract_x
_atom_site_fract_y
_atom_site_fract_z
_atom_site_occupancy
Na1 Na 0.1998 0.1998 0.3996 1
Na2 Na 0.8002 0.8002 0.6004 1
Na3 Na 0.4038 0.4038 0.8077 1
Na4 Na 0.0000 0.0000 0.0000 1
Na5 Na 0.5962 0.5962 0.1923 1
Br1 Br 0.0988 0.0988 0.1975 1
Br2 Br 0.6990 0.6990 0.3980 1
Br3 Br 0.3010 0.3010 0.6020 1
Br4 Br 0.9012 0.9012 0.8025 1
Cl1 Cl 0.5000 0.5000 0.0000 1
```

Formation energy without anion corrections (meV per atom): -1596.0
Uncorrected energy (eV per atom): -3.245


No. 4
Material: Fe2NiIr
Method: DFT, PBEsol
State: relaxed

The structure in CIF format:
```
data_Fe2NiIr
_chemical_formula_sum 'Fe2 Ni1 Ir1'
_cell_length_a 3.5990
_cell_length_b 3.5990
_cell_length_c 4.3901
_cell_angle_alpha 114.20
_cell_angle_beta 114.20
_cell_angle_gamma 90.00
_symmetry_space_group_name_H-M 'P 1'
_symmetry_Int_Tables_number 1
_symmetry_space_group_name_Hall 'P 1'
loop_
_atom_site_label
_atom_site_type_symbol
_atom_site_fract_x
_atom_site_fract_y
_atom_site_fract_z
_atom_site_occupancy
Ni1 Ni 0.0000 0.0000 0.0000 1
Ir1 Ir 0.5000 0.5000 0.0000 1
Fe1 Fe 0.7500 0.2500 0.5000 1
Fe2 Fe 0.2500 0.7500 0.5000 1
```

ΔH_f (0 K) (eV/f.u.): -0.08
Uncorrected energy (eV per atom): -8.497